1.
Compound: U3TaP4
Source: Alexandria via LeMat-Bulk
Functional: GGA-PBE
Structure: relaxed

a b c (Å): 6.5848 7.6484 6.6911
angles (deg): 90.00 109.63 90.00
Fractional positions:
U (0.0000, 0.1239, 0.2500)
U (0.0000, 0.3710, 0.7500)
U (0.0000, 0.6290, 0.2500)
U (0.0000, 0.8761, 0.7500)
U (0.5000, 0.3700, 0.2500)
U (0.5000, 0.6300, 0.7500)
Ta (0.5000, 0.1303, 0.7500)
Ta (0.5000, 0.8697, 0.2500)
P (0.2597, 0.3680, 0.5091)
P (0.2597, 0.6320, 0.0091)
P (0.2689, 0.1133, 0.0013)
P (0.2689, 0.8867, 0.5013)
P (0.7311, 0.1133, 0.4987)
P (0.7311, 0.8867, 0.9987)
P (0.7403, 0.3680, 0.9909)
P (0.7403, 0.6320, 0.4909)

Output
- SG = No. 13
- E (eV per atom) = -9.327
- DOS(E_F) (states/eV per atom) = 1.906

=====

2.
Compound: UTaP
Source: Alexandria via LeMat-Bulk
Functional: GGA-PBE
Structure: relaxed

a b c (Å): 5.7241 5.7241 5.7241
angles (deg): 146.80 146.80 47.66
Fractional positions:
U (0.0000, 0.0000, 0.0000)
Ta (0.7041, 0.7041, 0.0000)
P (0.3124, 0.3124, 0.0000)

Output
- SG = No. 107
- E (eV per atom) = -9.822
- DOS(E_F) (states/eV per atom) = 1.467

=====

3.
Compound: TaV2P2
Source: Alexandria via LeMat-Bulk
Functional: GGA-PBE
Structure: relaxed

a b c (Å): 6.6035 6.6035 3.1375
angles (deg): 90.00 90.00 90.00
Fractional positions:
Ta (0.0000, 0.0000, 0.0000)
Ta (0.5000, 0.5000, 0.0000)
V (0.1456, 0.3544, 0.5000)
V (0.3544, 0.8544, 0.5000)
V (0.6456, 0.1456, 0.5000)
V (0.8544, 0.6456, 0.5000)
P (0.1436, 0.6436, 0.0000)
P (0.3564, 0.1436, 0.0000)
P (0.6436, 0.8564, 0.0000)
P (0.8564, 0.3564, 0.0000)

Output
- SG = No. 127
- E (eV per atom) = -8.818
- DOS(E_F) (states/eV per atom) = 1.214

=====

4.
Compound: TaV3P
Source: Alexandria via LeMat-Bulk
Functional: GGA-PBE
Structure: relaxed

a b c (Å): 4.5953 4.5953 4.5953
angles (deg): 90.00 90.00 90.00
Fractional positions:
Ta (0.0000, 0.0000, 0.0000)
V (0.0000, 0.0000, 0.5000)
V (0.0000, 0.5000, 0.0000)
V (0.5000, 0.0000, 0.0000)
P (0.5000, 0.5000, 0.5000)

Output
- SG = No. 221
- relative energy among the computed polymorphs (eV/f.u.) = 9.48
- DOS(E_F) (states/eV per atom) = 1.331

=====

5.
Compound: TaVP
Source: Alexandria via LeMat-Bulk
Functional: GGA-PBE
Structure: relaxed

a b c (Å): 6.4123 3.4010 7.7032
angles (deg): 90.00 90.00 90.00
Fractional positions:
Ta (0.0360, 0.2500, 0.1677)
Ta (0.4640, 0.7500, 0.6677)
Ta (0.5360, 0.2500, 0.3323)
Ta (0.9640, 0.7500, 0.8323)
V (0.1389, 0.2500, 0.5584)
V (0.3611, 0.7500, 0.0584)
V (0.6389, 0.2500, 0.9416)
V (0.8611, 0.7500, 0.4416)
P (0.2366, 0.7500, 0.3595)
P (0.2634, 0.2500, 0.8595)
P (0.7366, 0.7500, 0.1405)
P (0.7634, 0.2500, 0.6405)

Output
- SG = No. 62
- E (eV per atom) = -9.621
- DOS(E_F) (states/eV per atom) = 0.565

=====

6.
Compound: TaVP
Source: Alexandria via LeMat-Bulk
Functional: GGA-PBE
Structure: relaxed

a b c (Å): 4.2359 4.2359 2.8969
angles (deg): 90.00 90.00 120.00
Fractional positions:
Ta (0.0000, 0.0000, 0.0000)
V (0.3333, 0.6667, 0.6205)
P (0.6667, 0.3333, 0.6541)

Output
- SG = No. 156
- E (eV per atom) = -8.935
- DOS(E_F) (states/eV per atom) = 0.766

=====

7.
Compound: Ta3VP
Source: Alexandria via LeMat-Bulk
Functional: GGA-PBE
Structure: relaxed

a b c (Å): 4.6271 4.6271 4.6271
angles (deg): 90.00 90.00 90.00
Fractional positions:
Ta (0.0000, 0.0000, 0.5000)
Ta (0.0000, 0.5000, 0.0000)
Ta (0.5000, 0.0000, 0.0000)
V (0.0000, 0.0000, 0.0000)
P (0.5000, 0.5000, 0.5000)

Output
- SG = No. 221
- relative energy among the computed polymorphs (eV/f.u.) = 8.64
- DOS(E_F) (states/eV per atom) = 0.781

=====

8.
Compound: TaV3P
Source: Alexandria via LeMat-Bulk
Functional: GGA-PBE
Structure: relaxed

a b c (Å): 5.4859 4.7950 7.6939
angles (deg): 90.00 133.47 90.00
Fractional positions:
Ta (0.0000, 0.2185, 0.0000)
Ta (0.0000, 0.7815, 0.5000)
V (0.2783, 0.2559, 0.4636)
V (0.2783, 0.7441, 0.9636)
V (0.3511, 0.2520, 0.8115)
V (0.3511, 0.7480, 0.3115)
V (0.6444, 0.2439, 0.2716)
V (0.6444, 0.7561, 0.7716)
P (0.8109, 0.4319, 0.6283)
P (0.8109, 0.5681, 0.1283)

Output
- SG = No. 7
- relative energy among the computed polymorphs (eV/f.u.) = 0.00
- DOS(E_F) (states/eV per atom) = 1.234

=====

Repeat the fourth record exactly.
Compound: TaV3P
Source: Alexandria via LeMat-Bulk
Functional: GGA-PBE
Structure: relaxed

a b c (Å): 4.5953 4.5953 4.5953
angles (deg): 90.00 90.00 90.00
Fractional positions:
Ta (0.0000, 0.0000, 0.0000)
V (0.0000, 0.0000, 0.5000)
V (0.0000, 0.5000, 0.0000)
V (0.5000, 0.0000, 0.0000)
P (0.5000, 0.5000, 0.5000)

Output
- SG = No. 221
- relative energy among the computed polymorphs (eV/f.u.) = 9.48
- DOS(E_F) (states/eV per atom) = 1.331

=====

> What is the DOS(E_F) in the fifth record?

0.565 states/eV per atom

=====

> Among the records above, which one has the lowest DOS(E_F)?

number 5